{
  "formula": "LiPrCl2",
  "functional": "PBE",
  "state": "optimized geometry",
  "rho_g_cm3": 3.4,
  "magmom_total_mub_per_cell": 0.00,
  "formation_energy_uncorrected_ev_per_fu": -5.99,
  "space_group": "No. 166",
  "cell": [[-1.9462, 0.1700, -3.3128], [-3.8452, 0.0736, 0.0302], [-1.7696, 8.3493, -0.7645]],
  "species": ["Pr", "Li", "Cl", "Cl"],
  "frac_coords": [[0.0000, 0.0000, 0.0000], [0.5000, 0.5000, 0.5000], [0.1110, 0.1110, 0.6669], [0.8890, 0.8890, 0.3331]]
}

{
  "formula": "LiPr2Cl6",
  "functional": "PBE",
  "state": "optimized geometry",
  "rho_g_cm3": 3.1,
  "relative_energy_mev_per_atom": 0,
  "magmom_total_mub_per_cell": 0.00,
  "formation_energy_uncorrected_ev_per_fu": -18.24,
  "space_group": "No. 12",
  "cell": [[-3.2557, -0.9305, -1.4894], [0.3789, -7.1520, -0.9535], [-4.9909, -3.7825, 8.6792]],
  "species": ["Li", "Pr", "Pr", "Cl", "Cl", "Cl", "Cl", "Cl", "Cl"],
  "frac_coords": [[0.0000, 0.0000, 0.0000], [0.3161, 0.0671, 0.3006], [0.6839, 0.9329, 0.6994], [0.8051, 0.2747, 0.1151], [0.1949, 0.7253, 0.8849], [0.3453, 0.7740, 0.5355], [0.9911, 0.7985, 0.2194], [0.0089, 0.2015, 0.7806], [0.6547, 0.2260, 0.4645]]
}

{
  "formula": "LiPrCl",
  "functional": "PBE",
  "state": "optimized geometry",
  "rho_g_cm3": 3.9,
  "magmom_total_mub_per_cell": 1.71,
  "formation_energy_uncorrected_ev_per_fu": -2.87,
  "space_group": "No. 164",
  "cell": [[-1.1700, -3.3783, 0.5999], [3.5550, 0.6750, -0.2184], [0.7932, 4.4739, 26.7418]],
  "species": ["Li", "Li", "Li", "Li", "Cl", "Cl", "Cl", "Cl", "Pr", "Pr", "Pr", "Pr"],
  "frac_coords": [[0.6667, 0.3333, 0.0552], [0.3333, 0.6667, 0.9448], [0.3333, 0.6667, 0.8333], [0.6667, 0.3333, 0.1667], [0.6667, 0.3333, 0.3589], [0.6667, 0.3333, 0.8928], [0.3333, 0.6667, 0.1072], [0.3333, 0.6667, 0.6411], [0.6667, 0.3333, 0.5557], [0.3333, 0.6667, 0.4443], [0.3333, 0.6667, 0.2775], [0.6667, 0.3333, 0.7225]]
}